A relaxed YErAl2 crystal. Source: the Alexandria database, functional PBE.

Cell: 3.587 3.587 7.155 Å, 90.00 90.00 90.00°
Space group P4/mmm (No. 123)
Symmetry-distinct sites (fractional):
Y  0.000  0.000  0.000
Er  0.000  0.000  0.500
Al  0.500  0.500  0.254

Calculated total energy in eV per atom: -5.03
ΔE_f in eV/atom: -0.406
Crystal system: tetragonal